(1)
First-principles (PBE-GGA) data for crystalline N at its relaxed geometry, as listed in the Alexandria database.

The polymorph energy (0 for the lowest one) is 1.623 eV per atom. The uncorrected energy comes out at -6.70 eV per atom. For the raw formation energy, the calculation gives 1.623 eV/atom.

Cell lengths 8.118, 6.274, 6.037 Å; angles 82.49, 50.01, 47.50 degrees
Fractional coordinates of all 8 atoms:
N 0.086 0.664 0.086
N 0.087 0.087 0.663
N 0.336 0.914 0.336
N 0.337 0.337 0.913
N 0.663 0.663 0.087
N 0.664 0.086 0.664
N 0.913 0.913 0.337
N 0.914 0.336 0.914

(2)
First-principles (PBE-GGA) data for crystalline KSc2Au at its relaxed geometry, as listed in the Alexandria database.

The polymorph energy (0 for the lowest one) is 0.000 eV per atom. Its energy of formation from the pure elements is -0.1095 eV/atom. The uncorrected energy comes out at -4.37 eV per atom.

Cell lengths 3.501, 3.501, 9.390 Å; angles 90.00, 90.13, 90.00 degrees
Fractional coordinates of all 4 atoms:
K 0.000 0.000 0.000
Sc 0.001 0.000 0.413
Sc 0.503 0.500 0.634
Au 0.501 0.500 0.272

(3)
First-principles (PBE-GGA) data for crystalline SrCaY2 at its relaxed geometry, as listed in the Alexandria database.

The polymorph energy (0 for the lowest one) is 0.000 eV per atom. Its energy of formation from the pure elements is 0.0835 eV/atom. The uncorrected energy comes out at -4.07 eV per atom.

Cell lengths 3.808, 3.808, 10.763 Å; angles 90.00, 90.00, 90.00 degrees
Fractional coordinates of all 4 atoms:
Sr 0.000 0.000 0.000
Ca 0.500 0.500 0.709
Y 0.000 0.000 0.469
Y 0.500 0.500 0.265

(4)
First-principles (PBE-GGA) data for crystalline Zr3AlPb at its relaxed geometry, as listed in the Alexandria database.

The polymorph energy (0 for the lowest one) is 0.000 eV per atom. Its energy of formation from the pure elements is 0.3507 eV/atom. The uncorrected energy comes out at -6.27 eV per atom.

Cell lengths 5.030, 5.030, 5.030 Å; angles 90.00, 90.00, 90.00 degrees
Fractional coordinates of all 5 atoms:
Zr 0.000 0.000 0.500
Zr 0.000 0.500 0.000
Zr 0.500 0.000 0.000
Al 0.000 0.000 0.000
Pb 0.500 0.500 0.500

(5)
First-principles (PBE-GGA) data for crystalline NaTl at its relaxed geometry, as listed in the Alexandria database.

Its energy of formation from the pure elements is -0.0466 eV/atom. The uncorrected energy comes out at -1.89 eV per atom.

Cell lengths 9.261, 9.261, 5.264 Å; angles 90.00, 90.00, 120.00 degrees
Fractional coordinates of all 12 atoms:
Na 0.136 0.820 0.250
Na 0.180 0.316 0.250
Na 0.316 0.136 0.750
Na 0.684 0.864 0.250
Na 0.820 0.684 0.750
Na 0.864 0.180 0.750
Tl 0.107 0.590 0.750
Tl 0.410 0.517 0.750
Tl 0.483 0.893 0.750
Tl 0.517 0.107 0.250
Tl 0.590 0.483 0.250
Tl 0.893 0.410 0.250

(6)
First-principles (PBE-GGA) data for crystalline Er4Ga3Ag at its relaxed geometry, as listed in the Alexandria database.

Its energy of formation from the pure elements is -0.5214 eV/atom. The uncorrected energy comes out at -4.29 eV per atom.

Cell lengths 5.027, 5.027, 7.148 Å; angles 90.00, 90.00, 90.00 degrees
Fractional coordinates of all 8 atoms:
Er 0.000 0.500 0.246
Er 0.000 0.500 0.754
Er 0.500 0.000 0.246
Er 0.500 0.000 0.754
Ga 0.000 0.000 0.000
Ga 0.000 0.000 0.500
Ga 0.500 0.500 0.000
Ag 0.500 0.500 0.500